A relaxed K2PrAgBr6 crystal, computed with PBE.

Cell lengths 7.730, 8.181, 13.345 Å; angles 90.00, 124.47, 90.00 degrees
Space group P2_1/c (No. 14)
Asymmetric unit:
K 0.219 0.080 0.247 [4 per cell]
Pr 0.500 0.000 0.000 [2 per cell]
Ag 0.000 0.000 0.500 [2 per cell]
Br 0.139 0.194 0.944 [4 per cell]
Br 0.255 0.700 0.945 [4 per cell]
Br 0.357 0.030 0.745 [4 per cell]

Offset from the most stable computed form = 0.000 eV per atom
Energy relative to the elements, uncorrected = -1523 meV per atom